(1)
Computed, not measured: an optimized crystal structure of NaMgCuF6 at the PBE level of DFT.

Structure (POSCAR):
```
NaMgCuF6
1.0
-2.2276 -1.7257 4.0651
3.3801 -3.9531 0.1741
1.0709 4.4502 2.4760
Na Mg Cu F
1 1 1 6
Direct
0.0000 0.3333 0.6667
0.5000 0.6667 0.3333
0.5000 0.0000 0.0000
0.7147 0.7027 0.6776
0.7147 0.3224 0.0251
0.7147 0.9749 0.2973
0.2853 0.3224 0.2973
0.2853 0.7027 0.0251
0.2853 0.9749 0.6776
```

Summary:
Formation energy from raw total energies   -2436.0 meV/atom
Calculated density   3.22 g/cm3

(2)
Computed, not measured: an optimized crystal structure of CaRe2Br at the PBE level of DFT.

Structure (POSCAR):
```
CaRe2Br
1.0
-1.1264 3.1273 -4.7853
-1.6747 -2.7227 -1.3852
-3.7270 1.5342 1.8800
Re Ca Br
2 1 1
Direct
0.0000 0.0112 0.9301
0.0000 0.4888 0.5699
0.5000 0.7500 0.7500
0.5000 0.2500 0.2500
```

Summary:
E above lowest polymorph   441.5 meV/atom
N(E_F)   3.25 states/eV/f.u.
Formation energy from raw total energies   495.2 meV/atom
Calculated density   9.06 g/cm3

(3)
Computed, not measured: an optimized crystal structure of SbSI2O at the PBE level of DFT.

Structure (POSCAR):
```
SbSI2O
1.0
-1.0300 2.2594 5.5726
-6.0029 -0.0551 -1.0872
-0.2348 -3.7767 1.4879
I Sb S O
2 1 1 1
Direct
0.0000 0.5000 0.0000
0.5000 0.0000 0.0000
0.0000 0.0000 0.0000
0.5000 0.5000 0.5000
0.0000 0.0000 0.5000
```

Summary:
E above lowest polymorph   0.0 meV/atom
N(E_F)   2.42 states/eV/f.u.
Formation energy from raw total energies   206.8 meV/atom
Calculated density   4.65 g/cm3

(4)
Computed, not measured: an optimized crystal structure of Cd9GaHg2 at the PBE level of DFT.

Structure (POSCAR):
```
Cd9GaHg2
1.0
-3.5896 2.6510 0.3716
-1.6577 -1.7133 -3.7905
-6.3453 -9.5880 7.1089
Cd Ga Hg
9 1 2
Direct
0.5000 0.5000 0.0000
0.5000 0.5000 0.3320
0.5000 0.5000 0.6680
0.5000 0.0000 0.1609
0.5000 0.0000 0.5000
0.5000 0.0000 0.8391
0.0000 0.5000 0.1609
0.0000 0.5000 0.5000
0.0000 0.5000 0.8391
0.0000 0.0000 0.0000
0.0000 0.0000 0.3279
0.0000 0.0000 0.6721
```

Summary:
Formation energy from the elements   0.031 eV/atom
N(E_F)   4.82 states/eV/f.u.
Calculated density   9.08 g/cm3